Entry 1:
NbCuNi: relaxed, PBE.

energy above the most stable polymorph in this dataset	0.019	eV per atom
electronic total energy	-6.74	eV per atom
crystal system	orthorhombic

a = 4.9782 Å, b = 4.9782 Å, c = 4.9782 Å
α = 129.85°, β = 115.94°, γ = 85.51°
With the nearest neighbours (Å) after each atom.
Sites, in units of the cell vectors:
Nb1 0.0000 0.0000 0.0000  2 Nb 2.64, 6 Ni 2.77-2.78, 6 Cu 2.77
Nb2 0.5000 0.0000 0.5000  2 Nb 2.64, 6 Ni 2.77-2.78, 6 Cu 2.77
Cu1 0.4171 0.6671 0.7500  3 Ni 2.43-2.64, 2 Cu 2.43
Cu2 0.5829 0.3329 0.2500  3 Ni 2.43-2.64, 2 Cu 2.43
Ni1 0.0849 0.3349 0.7500  3 Cu 2.43-2.64, 2 Ni 2.45
Ni2 0.9151 0.6651 0.2500  3 Cu 2.43-2.64, 2 Ni 2.45

=====

Entry 2:
LuTiAl2: relaxed, PBE.

energy above the most stable polymorph in this dataset	0.077	eV per atom
electronic total energy	-5.22	eV per atom
crystal system	cubic

a = 4.7474 Å, b = 4.7474 Å, c = 4.7474 Å
α = 60.00°, β = 60.00°, γ = 60.00°
With the nearest neighbours (Å) after each atom.
Sites, in units of the cell vectors:
Lu1 0.0000 0.0000 0.0000  8 Al 2.91
Ti1 0.5000 0.5000 0.5000  8 Al 2.91
Al1 0.2500 0.2500 0.2500  4 Ti 2.91, 4 Lu 2.91
Al2 0.7500 0.7500 0.7500  4 Ti 2.91, 4 Lu 2.91

=====

Entry 3:
PmTlAu: relaxed, PBE.

energy above the most stable polymorph in this dataset	0.097	eV per atom
electronic total energy	-3.98	eV per atom
crystal system	cubic

a = 4.9164 Å, b = 4.9164 Å, c = 4.9164 Å
α = 60.00°, β = 60.00°, γ = 60.00°
With the nearest neighbours (Å) after each atom.
Sites, in units of the cell vectors:
Pm1 0.0000 0.0000 0.0000  4 Au 3.01
Tl1 0.5000 0.5000 0.5000  4 Au 3.01
Au1 0.7500 0.7500 0.7500  4 Tl 3.01, 4 Pm 3.01

=====

Entry 4:
Mg2BiP2: relaxed, PBE.

energy above the most stable polymorph in this dataset	0.013	eV per atom
electronic total energy	-3.73	eV per atom
crystal system	tetragonal

a = 8.4029 Å, b = 8.4029 Å, c = 8.4029 Å
α = 155.07°, β = 155.07°, γ = 35.55°
With the nearest neighbours (Å) after each atom.
Sites, in units of the cell vectors:
Mg1 0.1234 0.1234 0.0000  4 P 2.72
Mg2 0.8766 0.8766 0.0000  4 P 2.72
Bi1 0.5000 0.5000 0.0000  8 Mg 3.24
P1 0.2500 0.7500 0.5000  4 P 2.57, 4 Mg 2.72
P2 0.7500 0.2500 0.5000  4 P 2.57, 4 Mg 2.72

=====

Entry 5:
Li2MnGeCl6: relaxed, PBE.

electronic total energy	-4.13	eV per atom
crystal system	trigonal
formation energy from raw total energies	-1.260	eV per atom

a = 7.0454 Å, b = 7.0454 Å, c = 7.0454 Å
α = 54.90°, β = 54.90°, γ = 54.90°
With the nearest neighbours (Å) after each atom.
Sites, in units of the cell vectors:
Li1 0.0000 0.0000 0.0000  6 Cl 2.52-2.70
Li2 0.4984 0.4984 0.4984  6 Cl 2.55-2.69
Mn1 0.6922 0.6922 0.6922  6 Cl 2.51-2.58
Ge1 0.1932 0.1932 0.1932  6 Cl 2.66-2.73
Cl1 0.0902 0.4200 0.7763  1 Mn 2.51, 2 Li 2.55-2.70, 1 Ge 2.73
Cl2 0.2893 0.8998 0.6101  2 Li 2.52-2.69, 1 Mn 2.58, 1 Ge 2.66
Cl3 0.4200 0.7763 0.0902  1 Mn 2.51, 2 Li 2.55-2.70, 1 Ge 2.73
Cl4 0.6101 0.2893 0.8998  2 Li 2.52-2.69, 1 Mn 2.58, 1 Ge 2.66
Cl5 0.7763 0.0902 0.4200  1 Mn 2.51, 2 Li 2.55-2.70, 1 Ge 2.73
Cl6 0.8998 0.6101 0.2893  2 Li 2.52-2.69, 1 Mn 2.58, 1 Ge 2.66

=====

Entry 6:
Cs3Rb2Cl3F2: relaxed, PBE.

electronic total energy	-3.58	eV per atom
crystal system	tetragonal
formation energy from raw total energies	-2.203	eV per atom

a = 14.7305 Å, b = 14.7305 Å, c = 14.7305 Å
α = 159.86°, β = 159.86°, γ = 28.64°
With the nearest neighbours (Å) after each atom.
Sites, in units of the cell vectors:
Cs1 0.0000 0.0000 0.0000  6 Cl 3.64-3.68
Cs2 0.3803 0.3803 0.0000  1 F 2.85
Cs3 0.6197 0.6197 0.0000  1 F 2.85
Rb1 0.2500 0.7500 0.5000  4 F 2.72
Rb2 0.7500 0.2500 0.5000  4 F 2.72
Cl1 0.1288 0.1288 0.0000  5 Cs 3.65-3.68
Cl2 0.5000 0.5000 0.0000  6 Cs 3.42-3.64
Cl3 0.8712 0.8712 0.0000  5 Cs 3.65-3.68
F1 0.2804 0.2804 0.0000  4 Rb 2.72, 1 Cs 2.85
F2 0.7196 0.7196 0.0000  4 Rb 2.72, 1 Cs 2.85

=====

Entry 7:
Ce2TlPb9: relaxed, PBE.

electronic total energy	-4.18	eV per atom
crystal system	tetragonal

a = 4.9021 Å, b = 4.9021 Å, c = 15.1361 Å
α = 90.00°, β = 90.00°, γ = 90.00°
With the nearest neighbours (Å) after each atom.
Sites, in units of the cell vectors:
Ce1 0.0000 0.0000 0.1548  12 Pb 3.39-3.61
Ce2 0.0000 0.0000 0.8452  12 Pb 3.39-3.61
Tl1 0.0000 0.0000 0.5000  12 Pb 3.47-3.55
Pb1 0.0000 0.5000 0.0000  4 Ce 3.39, 8 Pb 3.47-3.52
Pb2 0.0000 0.5000 0.3303  8 Pb 3.47-3.55, 2 Tl 3.55, 2 Ce 3.61
Pb3 0.0000 0.5000 0.6697  8 Pb 3.47-3.55, 2 Tl 3.55, 2 Ce 3.61
Pb4 0.5000 0.0000 0.0000  4 Ce 3.39, 8 Pb 3.47-3.52
Pb5 0.5000 0.0000 0.3303  8 Pb 3.47-3.55, 2 Tl 3.55, 2 Ce 3.61
Pb6 0.5000 0.0000 0.6697  8 Pb 3.47-3.55, 2 Tl 3.55, 2 Ce 3.61
Pb7 0.5000 0.5000 0.1670  4 Ce 3.47, 8 Pb 3.48-3.52
Pb8 0.5000 0.5000 0.5000  4 Tl 3.47, 8 Pb 3.55
Pb9 0.5000 0.5000 0.8330  4 Ce 3.47, 8 Pb 3.48-3.52

=====

Entry 8:
Mg2Cr3GaS8: relaxed, PBE.

electronic total energy	-5.75	eV per atom
crystal system	trigonal
formation energy from raw total energies	-0.885	eV per atom

a = 7.2476 Å, b = 7.2476 Å, c = 7.2476 Å
α = 59.91°, β = 59.91°, γ = 59.91°
With the nearest neighbours (Å) after each atom.
Sites, in units of the cell vectors:
Mg1 0.1244 0.1244 0.1244  4 S 2.44-2.46
Mg2 0.8756 0.8756 0.8756  4 S 2.44-2.46
Cr1 0.0000 0.5000 0.5000  6 S 2.42-2.43
Cr2 0.5000 0.0000 0.5000  6 S 2.42-2.43
Cr3 0.5000 0.5000 0.0000  6 S 2.42-2.43
Ga1 0.5000 0.5000 0.5000  6 S 2.47
S1 0.2595 0.2595 0.7119  2 Cr 2.42, 1 Mg 2.44, 1 Ga 2.47
S2 0.2595 0.7119 0.2595  2 Cr 2.42, 1 Mg 2.44, 1 Ga 2.47
S3 0.2629 0.2629 0.2629  3 Cr 2.43, 1 Mg 2.46
S4 0.2881 0.7405 0.7405  2 Cr 2.42, 1 Mg 2.44, 1 Ga 2.47
S5 0.7119 0.2595 0.2595  2 Cr 2.42, 1 Mg 2.44, 1 Ga 2.47
S6 0.7371 0.7371 0.7371  3 Cr 2.43, 1 Mg 2.46
S7 0.7405 0.2881 0.7405  2 Cr 2.42, 1 Mg 2.44, 1 Ga 2.47
S8 0.7405 0.7405 0.2881  2 Cr 2.42, 1 Mg 2.44, 1 Ga 2.47

=====

| no. | total moment (μB/f.u.) | V (Å³/f.u.) |
| --- | --- | --- |
| 1 | 0.000 | 41 |
| 2 | 0.759 | 76 |
| 3 | 0.000 | 84 |
| 4 | 0.000 | 105 |
| 5 | 5.000 | 218 |
| 6 | 0.379 | 379 |
| 7 | 2.031 | 364 |
| 8 | 9.000 | 269 |